(1)
This record from Alexandria describes a relaxed structure of Li3GeBr6. The functional is GGA-PBE.

Summary:
The space group is P2_1/c. The value obtained for the formation energy without anion corrections is -1.02 eV/atom.

a = 6.897 Å, b = 7.033 Å, c = 12.493 Å
α = 90.00°, β = 123.08°, γ = 90.00°
Fractional positions:
Li: 0.000 0.000 0.000
Li: 0.000 0.500 0.500
Li: 0.227 0.045 0.718
Li: 0.227 0.455 0.218
Li: 0.773 0.545 0.782
Li: 0.773 0.955 0.282
Ge: 0.500 0.000 0.500
Ge: 0.500 0.500 0.000
Br: 0.115 0.182 0.446
Br: 0.115 0.318 0.946
Br: 0.246 0.685 0.409
Br: 0.246 0.815 0.909
Br: 0.401 0.095 0.266
Br: 0.401 0.405 0.766
Br: 0.599 0.595 0.234
Br: 0.599 0.905 0.734
Br: 0.754 0.185 0.091
Br: 0.754 0.315 0.591
Br: 0.885 0.682 0.054
Br: 0.885 0.818 0.554

---

(2)
This record from Alexandria describes a relaxed structure of V2ZnCrN. The functional is GGA-PBE.

Summary:
The energy relative to the lowest polymorph listed for this composition comes out at 10.60 eV per formula unit. The space group is P4/mmm. The value obtained for the formation energy without anion corrections is 1.74 eV/atom.

a = 4.619 Å, b = 4.619 Å, c = 3.431 Å
α = 90.00°, β = 90.00°, γ = 90.00°
Fractional positions:
V: 0.000 0.500 0.000
V: 0.500 0.000 0.000
Zn: 0.000 0.000 0.000
Cr: 0.500 0.500 0.500
N: 0.000 0.000 0.500

---

(3)
This record from Alexandria describes a relaxed structure of LiLaMo4. The functional is GGA-PBE.

Summary:
The value obtained for the raw total energy is -7.84 eV/atom. The space group is F-43m.

a = 5.473 Å, b = 5.473 Å, c = 5.473 Å
α = 60.00°, β = 60.00°, γ = 60.00°
Fractional positions:
Li: 0.000 0.000 0.000
La: 0.250 0.250 0.250
Mo: 0.125 0.625 0.625
Mo: 0.625 0.125 0.625
Mo: 0.625 0.625 0.125
Mo: 0.625 0.625 0.625

---

(4)
This record from Alexandria describes a relaxed structure of Zn2TeW. The functional is GGA-PBE.

Summary:
The space group is R-3m. The value obtained for the formation energy without anion corrections is 0.50 eV/atom.

a = 10.079 Å, b = 10.079 Å, c = 10.079 Å
α = 17.15°, β = 17.15°, γ = 17.15°
Fractional positions:
Zn: 0.237 0.237 0.237
Zn: 0.763 0.763 0.763
Te: 0.000 0.000 0.000
W: 0.500 0.500 0.500